# 1
Below is an optimized crystal structure of Rb2As2Pt, with properties calculated at the PBE level.

It has space group C2/m (No. 12), with a = 12.833 Å, b = 4.646 Å, c = 11.514 Å, α = 90.00°, β = 118.84° and γ = 90.00°. The inequivalent atoms are Rb at (0.036, 0.000, 0.169), Rb at (0.195, 0.000, 0.603), As at (0.001, 0.500, 0.611), As at (0.234, 0.500, 0.080) and Pt at (0.174, 0.500, 0.838).

The crystal system is monoclinic.

# 2
Below is an optimized crystal structure of La3Ce2Y6Er, with properties calculated at the PBE level.

It has space group C2/m (No. 12), with a = 6.255 Å, b = 10.823 Å, c = 11.866 Å, α = 90.00°, β = 99.95° and γ = 90.00°. The inequivalent atoms are La at (0.000, 0.000, 0.000), La at (0.000, 0.334, 0.000), Ce at (0.000, 0.166, 0.500), Y at (0.246, 0.000, 0.744), Y at (0.248, 0.333, 0.744) and Er at (0.000, 0.500, 0.500).

The crystal system is monoclinic.

Number 1: energy of formation from the pure elements -0.412 eV/atom. Number 2: energy of formation from the pure elements 0.045 eV/atom.